Entry from the Alexandria database: an optimized crystal structure of Cr3SnAs (PBE-GGA).

Geometry as POSCAR:
```
Cr3SnAs
1.0
4.7434 0.0000 0.0000
0.0000 4.7434 0.0000
0.0000 0.0000 4.7434
Cr Sn As
3 1 1
Direct
0.0000 0.0000 0.5000 Cr
0.0000 0.5000 0.0000 Cr
0.5000 0.0000 0.0000 Cr
0.5000 0.5000 0.5000 Sn
0.0000 0.0000 0.0000 As
```

Properties
ΔE to the lowest computed polymorph: 0.0000 eV per atom
Total energy: -6.924 eV/atom
Magnetic moment: 11.0 μB per cell


Entry from the Alexandria database: an optimized crystal structure of Cr3SnAs (PBE-GGA).

Geometry as POSCAR:
```
Cr3SnAs
1.0
5.0280 0.0000 0.0000
0.0000 5.0280 0.0000
0.0000 0.0000 5.0280
Cr Sn As
3 1 1
Direct
0.0000 0.0000 0.5000 Cr
0.0000 0.5000 0.0000 Cr
0.5000 0.0000 0.0000 Cr
0.0000 0.0000 0.0000 Sn
0.5000 0.5000 0.5000 As
```

Properties
ΔE to the lowest computed polymorph: 0.6947 eV per atom
Total energy: -6.229 eV/atom
Magnetic moment: 11.1 μB per cell


Entry from the Alexandria database: an optimized crystal structure of CrSn3As (PBE-GGA).

Geometry as POSCAR:
```
CrSn3As
1.0
5.4026 0.0000 0.0000
0.0000 5.4026 0.0000
0.0000 0.0000 5.4026
Cr Sn As
1 3 1
Direct
0.0000 0.0000 0.0000 Cr
0.0000 0.5000 0.5000 Sn
0.5000 0.0000 0.5000 Sn
0.5000 0.5000 0.0000 Sn
0.5000 0.5000 0.5000 As
```

Properties
ΔE to the lowest computed polymorph: 0.4353 eV per atom
Total energy: -4.409 eV/atom
Magnetic moment: 4.7 μB per cell


Number 1: DOS at the Fermi energy 3.84 states/eV per cell, energy of formation 13.39 kcal/mol of atoms. Number 2: DOS at the Fermi energy 2.41 states/eV per cell, energy of formation 29.41 kcal/mol of atoms. Number 3: DOS at the Fermi energy 3.67 states/eV per cell, energy of formation 19.54 kcal/mol of atoms.